Entry from the Alexandria database: a relaxed Er4Te5C2 crystal (PBE).

a b c (Å): 4.221 8.115 10.021
angles (deg): 113.88 102.16 90.00
Atoms (fractional coordinates):
1 Te 0.836 0.601 0.672
2 Te 0.836 0.071 0.672
3 Te 0.500 0.000 0.000
4 Te 0.164 0.929 0.328
5 Er 0.000 0.268 0.000
6 Er 0.682 0.682 0.364
7 Er 0.000 0.732 0.000
8 C 0.536 0.536 0.073
9 Te 0.164 0.399 0.328
10 Er 0.318 0.318 0.636
11 C 0.464 0.464 0.927

Fermi-level density of states = 2.91 states/eV per cell
DFT total energy = -5.605 eV/atom
E_form (uncorrected) = -841 meV/atom